This record from the Alexandria database describes a relaxed ZnRu3 crystal. The functional is PBE.

Lattice parameters (Å, degrees): 2.7451 2.7451 8.5918 90.00 90.00 120.00
Fractional positions:
Ru1 0.3333 0.6667 0.2500
Zn1 0.3333 0.6667 0.7500
Ru2 0.0000 0.0000 0.4929
Ru3 0.0000 0.0000 0.0071

Values from the calculation:
- E_tot: -0.268 hartree per atom
- DFT formation energy: -4 meV per atom
- V: 14.02 Å³ per atom

***

This record from the Alexandria database describes a relaxed CoRh4 crystal. The functional is PBE.

Lattice parameters (Å, degrees): 11.5067 11.3531 2.6772 86.55 80.02 13.43
Fractional positions:
Rh1 0.1990 0.1990 0.8010
Co1 0.0000 0.0000 0.0000
Rh2 0.4049 0.4049 0.5951
Rh3 0.5951 0.5951 0.4049
Rh4 0.8010 0.8010 0.1990

Values from the calculation:
- E_tot: -0.258 hartree per atom
- DFT formation energy: 273 meV per atom
- V: 14.09 Å³ per atom

***

This record from the Alexandria database describes a relaxed NdGd2Zn crystal. The functional is PBE.

Lattice parameters (Å, degrees): 3.6115 3.6115 8.7944 90.00 90.00 90.00
Fractional positions:
Zn1 0.5000 0.5000 0.0000
Nd1 0.5000 0.5000 0.5000
Gd1 0.0000 0.0000 0.2036
Gd2 0.0000 0.0000 0.7964

Values from the calculation:
- E_tot: -0.320 hartree per atom
- DFT formation energy: -164 meV per atom
- V: 28.68 Å³ per atom

***

This record from the Alexandria database describes a relaxed Ho3Er4Th2 crystal. The functional is PBE.

Lattice parameters (Å, degrees): 3.5360 3.5360 26.2049 90.00 90.00 120.00
Fractional positions:
Ho1 0.6667 0.3333 0.6498
Th1 0.6667 0.3333 0.8684
Ho2 0.0000 0.0000 0.3277
Er1 0.6667 0.3333 0.2217
Er2 0.0000 0.0000 0.7582
Er3 0.0000 0.0000 0.5425
Ho3 0.0000 0.0000 0.9809
Th2 0.6667 0.3333 0.0924
Er4 0.6667 0.3333 0.4356

Values from the calculation:
- E_tot: -0.189 hartree per atom
- DFT formation energy: 66 meV per atom
- V: 31.53 Å³ per atom

***

This record from the Alexandria database describes a relaxed Te2IrI crystal. The functional is PBE.

Lattice parameters (Å, degrees): 8.9418 7.6140 7.6140 65.24 115.16 64.84
Fractional positions:
I1 0.7500 0.9142 0.4142
Te1 0.5719 0.4901 0.2705
Ir1 0.7500 0.2576 0.7576
I2 0.2500 0.0858 0.5858
Te2 0.4281 0.5099 0.7295
Te3 0.0719 0.2295 0.0099
Ir2 0.2500 0.7424 0.2424
Te4 0.9281 0.7705 0.9901

Values from the calculation:
- E_tot: -0.152 hartree per atom
- E_form (uncorrected): 0.0243 eV per atom
- V: 36.18 Å³ per atom

***

This record from the Alexandria database describes a relaxed LiLa3Ni8 crystal. The functional is PBE.

Lattice parameters (Å, degrees): 5.0806 5.0806 8.8949 73.41 73.41 60.00
Fractional positions:
Ni1 0.1886 0.1886 0.4341
Li1 0.8700 0.8700 0.3899
Ni2 0.4349 0.9388 0.1915
Ni3 0.9388 0.4349 0.1915
Ni4 0.6875 0.6875 0.9375
La1 0.5070 0.5070 0.4790
Ni5 0.4414 0.9390 0.6807
Ni6 0.9390 0.9390 0.6807
Ni7 0.4349 0.4349 0.1915
La2 0.3780 0.3780 0.8661
La3 0.9910 0.9910 0.0269
Ni8 0.9390 0.4414 0.6807

Values from the calculation:
- E_tot: -0.204 hartree per atom
- DFT formation energy: -308 meV per atom
- V: 15.64 Å³ per atom

***

This record from the Alexandria database describes a relaxed MgUZn crystal. The functional is PBE.

Lattice parameters (Å, degrees): 5.4615 4.7522 6.6454 76.34 65.74 54.93
Fractional positions:
Mg1 0.7500 0.5000 0.5000
U1 0.1671 0.6658 0.0000
Mg2 0.2500 0.5000 0.5000
Zn1 0.3825 0.0000 0.2350
Zn2 0.6175 0.0000 0.7650
U2 0.8329 0.3342 0.0000

Values from the calculation:
- E_tot: -0.164 hartree per atom
- DFT formation energy: 256 meV per atom
- V: 21.45 Å³ per atom

***

This record from the Alexandria database describes a relaxed NiMo2W crystal. The functional is PBE.

Lattice parameters (Å, degrees): 2.6918 2.6918 8.4970 90.00 90.00 106.00
Fractional positions:
Ni1 0.0000 0.0000 0.5006
Mo1 0.5000 0.5000 0.2654
W1 0.5000 0.5000 0.7338
Mo2 0.0000 0.0000 0.0002

Values from the calculation:
- E_tot: -0.369 hartree per atom
- DFT formation energy: 53 meV per atom
- V: 14.80 Å³ per atom